Arrangement one

# LiTi2O4

A geometry-optimized LiTi2O4 structure (PBE, the Alexandria database).

Lattice parameters (Å, degrees): 3.8058 8.2089 9.2195 90.00 90.00 90.00
Closest atoms and distances in Å follow each position.
Sites, in units of the cell vectors:
Li  0.0000  0.8760  0.8325  5 O 1.98-2.03
Ti  0.5000  0.6171  0.8937  5 O 1.95-2.13
Li  0.5000  0.3760  0.6675  5 O 1.98-2.03
Ti  0.0000  0.3626  0.3863  6 O 1.93-2.16
Li  0.0000  0.1240  0.1675  5 O 1.98-2.03
O  0.5000  0.6167  0.6562  2 Ti 1.95, 1 Li 1.98
O  0.5000  0.3742  0.8882  3 Ti 1.94-2.01, 1 Li 2.03
Ti  0.0000  0.6374  0.6137  6 O 1.93-2.16
Ti  0.0000  0.8829  0.3937  5 O 1.95-2.13
Ti  0.5000  0.1374  0.8863  6 O 1.93-2.16
O  0.0000  0.1167  0.8438  2 Ti 1.95, 1 Li 1.98
O  0.0000  0.3659  0.1521  3 Ti 1.95-2.16, 1 Li 1.99
O  0.5000  0.8659  0.3479  3 Ti 1.95-2.16, 1 Li 1.99
Ti  0.0000  0.1171  0.6063  5 O 1.95-2.13
O  0.0000  0.1258  0.3882  3 Ti 1.94-2.01, 1 Li 2.03
O  0.0000  0.3761  0.5951  3 Ti 1.93-2.15, 2 Li 2.02
O  0.5000  0.1239  0.0951  3 Ti 1.93-2.15, 2 Li 2.02
O  0.5000  0.1341  0.6521  3 Ti 1.95-2.16, 1 Li 1.99
O  0.0000  0.6239  0.4049  3 Ti 1.93-2.15, 2 Li 2.02
O  0.5000  0.3833  0.3438  2 Ti 1.95, 1 Li 1.98
O  0.0000  0.8833  0.1562  2 Ti 1.95, 1 Li 1.98
O  0.0000  0.8742  0.6118  3 Ti 1.94-2.01, 1 Li 2.03
O  0.5000  0.8761  0.9049  3 Ti 1.93-2.15, 2 Li 2.02
O  0.0000  0.6341  0.8479  3 Ti 1.95-2.16, 1 Li 1.99
Ti  0.5000  0.3829  0.1063  5 O 1.95-2.13
Li  0.5000  0.6240  0.3325  5 O 1.98-2.03
O  0.5000  0.6258  0.1118  3 Ti 1.94-2.01, 1 Li 2.03
Ti  0.5000  0.8626  0.1137  6 O 1.93-2.16

Properties
The density of states at the Fermi level comes out at 9.8 states/eV/cell. As for the volume: 10.3 A^3/atom. As for the calculated density: 3.8 Mg/m³.

Arrangement two

# LiTi2O4

A geometry-optimized LiTi2O4 structure (PBE, the Alexandria database).

Lattice parameters (Å, degrees): 5.9276 5.9276 9.6426 90.00 90.00 120.00
Closest atoms and distances in Å follow each position.
Sites, in units of the cell vectors:
Ti  0.8296  0.1704  0.7155  6 O 1.97-2.07
Li  0.6667  0.3333  0.3982  4 O 1.98-1.99
O  0.0000  0.0000  0.3102  1 Li 1.78, 3 Ti 1.97
Ti  0.6591  0.8296  0.2155  6 O 1.97-2.07
Ti  0.1704  0.8296  0.2155  6 O 1.97-2.07
O  0.5196  0.0392  0.8402  1 Li 1.99, 3 Ti 2.00-2.08
O  0.6667  0.3333  0.6039  1 Li 1.98, 3 Ti 1.99
O  0.1660  0.3320  0.5971  1 Li 1.97, 3 Ti 2.01-2.07
O  0.9608  0.4804  0.8402  1 Li 1.99, 3 Ti 2.00-2.08
Li  0.0000  0.0000  0.4947  4 O 1.78-1.97
O  0.4804  0.9608  0.3402  1 Li 1.99, 3 Ti 2.00-2.08
O  0.4804  0.5196  0.3402  1 Li 1.99, 3 Ti 2.00-2.08
Ti  0.3333  0.6667  0.4885  6 O 2.01-2.08
O  0.0392  0.5196  0.3402  1 Li 1.99, 3 Ti 2.00-2.08
Ti  0.6667  0.3333  0.9885  6 O 2.01-2.08
O  0.6680  0.8340  0.5971  1 Li 1.97, 3 Ti 2.01-2.07
Li  0.0000  0.0000  0.9947  4 O 1.78-1.97
O  0.1660  0.8340  0.5971  1 Li 1.97, 3 Ti 2.01-2.07
Ti  0.3409  0.1704  0.7155  6 O 1.97-2.07
Ti  0.1704  0.3409  0.2155  6 O 1.97-2.07
O  0.5196  0.4804  0.8402  1 Li 1.99, 3 Ti 2.00-2.08
Li  0.3333  0.6667  0.8982  4 O 1.98-1.99
O  0.8340  0.1660  0.0971  1 Li 1.97, 3 Ti 2.01-2.07
O  0.3333  0.6667  0.1039  1 Li 1.98, 3 Ti 1.99
O  0.3320  0.1660  0.0971  1 Li 1.97, 3 Ti 2.01-2.07
O  0.8340  0.6680  0.0971  1 Li 1.97, 3 Ti 2.01-2.07
Ti  0.8296  0.6591  0.7155  6 O 1.97-2.07
O  0.0000  0.0000  0.8102  1 Li 1.78, 3 Ti 1.97

Properties
The density of states at the Fermi level comes out at 12.0 states/eV/cell. As for the volume: 10.5 A^3/atom. As for the calculated density: 3.8 Mg/m³.

Preferred: arrangement one; penalty for the next structure: 0.015 eV/atom.

Arrangement one

# Li3Ti4O8

A geometry-optimized Li3Ti4O8 structure (PBE, the Alexandria database).

Lattice parameters (Å, degrees): 5.9695 5.9695 5.9695 59.67 59.67 59.67
Closest atoms and distances in Å follow each position.
Sites, in units of the cell vectors:
Li  0.0000  0.5000  0.5000  6 O 2.15-2.18
Li  0.5000  0.5000  0.0000  6 O 2.15-2.18
Ti  0.5000  0.0000  0.0000  6 O 2.04-2.06
O  0.2213  0.7627  0.7627  3 Ti 2.00-2.04, 2 Li 2.18
Ti  0.0000  0.0000  0.0000  6 O 2.00
O  0.7627  0.7627  0.2213  3 Ti 2.00-2.04, 2 Li 2.18
O  0.7627  0.2213  0.7627  3 Ti 2.00-2.04, 2 Li 2.18
O  0.2373  0.7787  0.2373  3 Ti 2.00-2.04, 2 Li 2.18
O  0.7787  0.2373  0.2373  3 Ti 2.00-2.04, 2 Li 2.18
O  0.2443  0.2443  0.2443  3 Ti 2.06, 3 Li 2.15
O  0.7557  0.7557  0.7557  3 Ti 2.06, 3 Li 2.15
Li  0.5000  0.0000  0.5000  6 O 2.15-2.18
Ti  0.0000  0.5000  0.0000  6 O 2.04-2.06
O  0.2373  0.2373  0.7787  3 Ti 2.00-2.04, 2 Li 2.18
Ti  0.0000  0.0000  0.5000  6 O 2.04-2.06

Properties
The density of states at the Fermi level comes out at 6.4 states/eV/cell. As for the volume: 10.0 A^3/atom. As for the calculated density: 3.8 Mg/m³.

Arrangement two

# Li3Ti4O8

A geometry-optimized Li3Ti4O8 structure (PBE, the Alexandria database).

Lattice parameters (Å, degrees): 9.6583 5.0940 5.7198 89.50 90.00 90.00
Closest atoms and distances in Å follow each position.
Sites, in units of the cell vectors:
O  0.2483  0.0712  0.6269  3 Ti 1.98-2.14, 1 Li 2.12
Ti  0.3707  0.3905  0.6324  6 O 2.01-2.12
Li  0.8852  0.5735  0.8805  5 O 2.00-2.08
O  0.5093  0.2716  0.8775  2 Li 1.99-2.00, 3 Ti 2.03-2.07
Ti  0.3804  0.9085  0.3658  6 O 1.98-2.14
O  0.0026  0.2457  0.8737  3 Ti 1.94-2.08, 2 Li 2.02
O  0.4937  0.7346  0.6182  2 Li 1.96-2.12, 3 Ti 2.01-2.12
Ti  0.6188  0.6182  0.8790  5 O 1.94-2.06
O  0.7574  0.4365  0.6236  3 Ti 2.02-2.19, 2 Li 2.05-2.09
Li  0.6111  0.0851  0.6260  5 O 1.96-2.12
Li  0.1101  0.4322  0.6185  5 O 1.96-2.09
Li  0.3852  0.4265  0.1195  5 O 2.00-2.08
Ti  0.6286  0.0864  0.1291  6 O 1.98-2.14
O  0.2436  0.0689  0.1428  1 Li 2.00, 3 Ti 2.00-2.07
O  0.2574  0.5635  0.3764  3 Ti 2.02-2.19, 2 Li 2.05-2.09
O  0.0093  0.7284  0.1225  2 Li 1.99-2.00, 3 Ti 2.03-2.07
O  0.9968  0.7549  0.6201  3 Li 1.96-2.05, 3 Ti 2.03-2.09
O  0.2405  0.5504  0.8742  3 Ti 2.02-2.14, 2 Li 2.03-2.08
Li  0.6101  0.5678  0.3815  5 O 1.96-2.09
O  0.9937  0.2654  0.3818  2 Li 1.96-2.12, 3 Ti 2.01-2.12
O  0.7405  0.4496  0.1258  3 Ti 2.02-2.14, 2 Li 2.03-2.08
Ti  0.8804  0.0915  0.6342  6 O 1.98-2.14
Ti  0.1188  0.3818  0.1210  5 O 1.94-2.06
Ti  0.1286  0.9136  0.8709  6 O 1.98-2.14
O  0.7483  0.9288  0.3731  3 Ti 1.98-2.14, 1 Li 2.12
Li  0.1111  0.9149  0.3740  5 O 1.96-2.12
O  0.5026  0.7543  0.1263  3 Ti 1.94-2.08, 2 Li 2.02
O  0.4968  0.2451  0.3799  3 Li 1.96-2.05, 3 Ti 2.03-2.09
Ti  0.8707  0.6095  0.3676  6 O 2.01-2.12
O  0.7436  0.9311  0.8572  1 Li 2.00, 3 Ti 2.00-2.07

Properties
The density of states at the Fermi level comes out at 9.9 states/eV/cell. As for the volume: 9.4 A^3/atom. As for the calculated density: 4.0 Mg/m³.

Preferred: arrangement one; penalty for the next structure: 0.021 eV/atom.

Arrangement one

# Li3Ti4O8

A geometry-optimized Li3Ti4O8 structure (PBE, the Alexandria database).

Lattice parameters (Å, degrees): 5.7713 4.9326 4.9820 89.38 90.00 90.00
Closest atoms and distances in Å follow each position.
Sites, in units of the cell vectors:
O  0.9840  0.3214  0.2693  3 Li 1.95-2.13, 3 Ti 2.09-2.11
Li  0.7414  0.5000  0.0000  6 O 1.94-2.12
O  0.9840  0.6786  0.7307  3 Li 1.95-2.13, 3 Ti 2.09-2.11
O  0.2281  0.8177  0.2265  2 Li 1.94-2.17, 3 Ti 2.01-2.07
Li  0.2280  0.5000  0.0000  6 O 1.94-2.13
O  0.7401  0.8177  0.2266  2 Li 1.94-2.16, 3 Ti 2.01-2.07
O  0.2281  0.1823  0.7735  2 Li 1.94-2.17, 3 Ti 2.01-2.07
Li  0.9829  0.0000  0.5000  6 O 1.95-2.17
O  0.4841  0.6714  0.7452  3 Ti 2.02-2.07, 2 Li 2.12
Ti  0.2476  0.5000  0.5000  6 O 2.02-2.11
O  0.7401  0.1823  0.7734  2 Li 1.94-2.16, 3 Ti 2.01-2.07
O  0.4841  0.3286  0.2548  3 Ti 2.02-2.07, 2 Li 2.12
Ti  0.4841  0.0000  0.0000  6 O 2.06-2.07
Ti  0.7202  0.5000  0.5000  6 O 2.02-2.11
Ti  0.9843  0.0000  0.0000  6 O 2.01-2.09

Properties
The density of states at the Fermi level comes out at 4.5 states/eV/cell. As for the volume: 9.5 A^3/atom. As for the calculated density: 4.0 Mg/m³.

Arrangement two

# Li3Ti4O8

A geometry-optimized Li3Ti4O8 structure (PBE, the Alexandria database).

Lattice parameters (Å, degrees): 5.8484 5.8484 5.8289 60.85 60.85 91.48
Closest atoms and distances in Å follow each position.
Sites, in units of the cell vectors:
O  0.7574  0.2426  0.0000  3 Ti 2.03-2.04, 2 Li 2.09
O  0.2441  0.2441  0.5383  2 Ti 1.93-1.94, 3 Li 2.10-2.15
Ti  0.0000  0.0000  0.0000  6 O 1.93-2.04
Ti  0.5000  0.0000  0.0000  6 O 2.04-2.09
Ti  0.5000  0.5000  0.5000  6 O 1.94-2.09
O  0.7559  0.7559  0.4617  2 Ti 1.93-1.94, 3 Li 2.10-2.15
O  0.2426  0.7574  0.0000  3 Ti 2.03-2.04, 2 Li 2.09
O  0.7480  0.2520  0.5000  3 Li 2.04-2.11, 3 Ti 2.08-2.09
Li  0.0000  0.0000  0.5000  6 O 2.09-2.15
O  0.2520  0.7480  0.5000  3 Li 2.04-2.11, 3 Ti 2.08-2.09
O  0.7502  0.7502  0.9997  4 Ti 2.04-2.09, 1 Li 2.09
Li  0.0000  0.5000  0.5000  6 O 2.04-2.10
Ti  0.0000  0.5000  0.0000  6 O 2.04-2.09
O  0.2498  0.2498  0.0003  4 Ti 2.04-2.09, 1 Li 2.09
Li  0.5000  0.0000  0.5000  6 O 2.04-2.10

Properties
The density of states at the Fermi level comes out at 4.0 states/eV/cell. As for the volume: 9.5 A^3/atom. As for the calculated density: 4.0 Mg/m³.

Arrangement three

# Li3Ti4O8

A geometry-optimized Li3Ti4O8 structure (PBE, the Alexandria database).

Lattice parameters (Å, degrees): 5.8628 5.8628 5.7890 60.49 60.49 59.25
Closest atoms and distances in Å follow each position.
Sites, in units of the cell vectors:
O  0.2495  0.7579  0.7422  2 Li 2.01-2.13, 3 Ti 2.05-2.07
Ti  0.0000  0.5000  0.5000  6 O 1.94-2.07
Ti  0.0000  0.0000  0.0000  6 O 2.05-2.10
O  0.2421  0.7505  0.2578  2 Li 2.01-2.13, 3 Ti 2.05-2.07
Ti  0.5000  0.0000  0.5000  6 O 1.94-2.07
O  0.2498  0.2498  0.7564  2 Li 2.02, 4 Ti 2.07-2.10
Li  0.0000  0.0000  0.5000  6 O 2.01-2.05
Ti  0.5000  0.5000  0.5000  6 O 2.05-2.10
O  0.7563  0.7563  0.7161  2 Ti 1.94, 3 Li 2.05-2.16
O  0.2437  0.2437  0.2839  2 Ti 1.94, 3 Li 2.05-2.16
Li  0.0000  0.5000  0.0000  6 O 2.02-2.16
O  0.7502  0.7502  0.2436  2 Li 2.02, 4 Ti 2.07-2.10
Li  0.5000  0.0000  0.0000  6 O 2.02-2.16
O  0.7505  0.2421  0.2578  2 Li 2.01-2.13, 3 Ti 2.05-2.07
O  0.7579  0.2495  0.7422  2 Li 2.01-2.13, 3 Ti 2.05-2.07

Properties
The density of states at the Fermi level comes out at 3.0 states/eV/cell. As for the volume: 9.4 A^3/atom. As for the calculated density: 4.0 Mg/m³.

Preferred: arrangement two; penalty for the next structure: 0.013 eV/atom.